1.
First-principles (SCAN) data for a crystal of Tl2CdMoAs relaxed with PBEsol, as listed in Alexandria via LeMat-Bulk.

```
5
Lattice="-0.215 3.879 -2.738 -1.229 -3.076 -4.261 -5.250 0.515 1.142" Properties=species:S:1:pos:R:3 pbc="T T T"
Mo 0.000 0.000 0.000
Tl -2.625 0.258 0.571
Tl -0.614 -1.538 -2.131
Cd -3.347 0.659 -2.929
As -0.108 1.939 -1.369
```

Calculated values
Final energy in eV/atom: -45.651
Symmetry: No. 123
DFT formation energy in eV/f.u.: 2.0
Size of the total moment in μB/cell: 0.654


2.
First-principles (SCAN) data for a crystal of CdAsS2N relaxed with PBEsol, as listed in Alexandria via LeMat-Bulk.

```
5
Lattice="-1.597 -2.641 -2.379 3.760 -2.608 0.372 -1.844 -2.143 3.618" Properties=species:S:1:pos:R:3 pbc="T T T"
S 1.880 -1.304 0.186
Cd 0.160 -3.696 0.805
S -0.922 -1.072 1.809
N 0.000 0.000 0.000
As -0.798 -1.321 -1.189
```

Calculated values
Final energy in eV/atom: -14.866
Uncorrected formation energy in meV per atom: 965
Symmetry: No. 123
Size of the total moment in μB/cell: 0.000


3.
First-principles (SCAN) data for a crystal of NaCdAsS3 relaxed with PBEsol, as listed in Alexandria via LeMat-Bulk.

```
24
Lattice="-1.036 -1.872 5.192 -4.802 -2.309 -1.875 7.995 -13.863 -3.402" Properties=species:S:1:pos:R:3 pbc="T T T"
S -2.474 -2.939 -1.410
As -0.977 -8.264 -0.268
Cd 0.251 -4.997 1.252
S 2.514 -10.611 2.213
Cd 1.907 -13.047 -1.338
S 4.631 -15.105 1.324
S 0.289 -11.060 -1.163
Na 5.632 -14.314 -1.218
S 3.086 -15.086 -2.365
S 4.077 -11.742 -0.587
Cd -2.674 -7.077 2.912
Na -3.475 -3.729 1.132
S -0.928 -2.958 2.279
S 1.868 -6.983 1.077
S -1.919 -6.301 0.501
S -0.356 -7.433 -2.299
Na -0.086 -11.551 1.631
Na 2.243 -6.492 -1.718
S 0.798 -3.860 -1.071
Cd 4.831 -10.966 -2.998
As 3.135 -9.779 0.181
S 1.360 -14.184 0.985
As -1.528 -3.826 4.302
As 3.686 -14.218 -4.388
```

Calculated values
Final energy in eV/atom: -14.679
Uncorrected formation energy in meV per atom: -729
Symmetry: No. 14
Size of the total moment in μB/cell: 0.000


4.
First-principles (SCAN) data for a crystal of NbCdAs3 relaxed with PBEsol, as listed in Alexandria via LeMat-Bulk.

```
5
Lattice="-3.317 -3.649 -0.531 1.040 -1.611 4.574 -3.537 2.948 1.843" Properties=species:S:1:pos:R:3 pbc="T T T"
As -1.659 -1.824 -0.266
Cd -2.907 -1.156 2.943
Nb 0.000 0.000 0.000
As 0.520 -0.806 2.287
As -1.769 1.474 0.921
```

Calculated values
Final energy in eV/atom: -24.515
Symmetry: No. 221
DFT formation energy in eV/f.u.: 1.5
Size of the total moment in μB/cell: 0.000


Which value of final energy does entry 3 give?
-14.679 eV/atom